1.
VASP calculation (PBE) on a geometry-optimized Ca2YTiO5 structure.

Cell lengths 16.053, 5.712, 5.526 Å; angles 90.00, 90.00, 90.00 degrees
Space group Ima2 (No. 46)
Inequivalent atoms, fractional coordinates:
Ca: 0.100 0.030 0.000 [8 per cell]
Y: 0.250 0.544 0.970 [4 per cell]
Ti: 0.000 0.000 0.526 [4 per cell]
O: 0.015 0.746 0.775 [8 per cell]
O: 0.129 0.079 0.566 [8 per cell]
O: 0.250 0.584 0.570 [4 per cell]

The uncorrected formation energy comes out at -288.47 kJ/mol of atoms. For the theoretical density, the calculation gives 3.892 g cm⁻³.



2.
VASP calculation (PBE) on a geometry-optimized Ca3YTi4O12 structure.

Cell lengths 5.393, 7.702, 5.542 Å; angles 90.00, 90.18, 90.00 degrees
Space group Pm (No. 6)
Inequivalent atoms, fractional coordinates:
Ca: 0.000 0.000 0.000 [1 per cell]
Ca: 0.022 0.500 0.097 [1 per cell]
Ca: 0.504 0.500 0.594 [1 per cell]
Y: 0.524 0.000 0.489 [1 per cell]
Ti: 0.014 0.252 0.550 [2 per cell]
Ti: 0.509 0.252 0.045 [2 per cell]
O: 0.107 0.000 0.572 [1 per cell]
O: 0.214 0.292 0.844 [2 per cell]
O: 0.309 0.288 0.345 [2 per cell]
O: 0.428 0.000 0.076 [1 per cell]
O: 0.594 0.500 0.025 [1 per cell]
O: 0.711 0.200 0.750 [2 per cell]
O: 0.800 0.201 0.262 [2 per cell]
O: 0.934 0.500 0.526 [1 per cell]

The uncorrected formation energy comes out at -306.62 kJ/mol of atoms. For the theoretical density, the calculation gives 4.275 g cm⁻³.



3.
VASP calculation (PBE) on a geometry-optimized CaYTi2O6 structure.

Cell lengths 7.716, 5.583, 5.377 Å; angles 90.00, 90.00, 90.00 degrees
Space group Pmn2_1 (No. 31)
Inequivalent atoms, fractional coordinates:
Ca: 0.000 0.198 0.000 [2 per cell]
Y: 0.000 0.687 0.527 [2 per cell]
Ti: 0.250 0.247 0.511 [4 per cell]
O: 0.000 0.281 0.426 [2 per cell]
O: 0.000 0.778 0.114 [2 per cell]
O: 0.198 0.947 0.705 [4 per cell]
O: 0.203 0.459 0.805 [4 per cell]

The uncorrected formation energy comes out at -307.93 kJ/mol of atoms. For the theoretical density, the calculation gives 4.598 g cm⁻³.



4.
VASP calculation (PBE) on a geometry-optimized CaY2TiO6 structure.

Cell lengths 5.339, 5.339, 5.245 Å; angles 90.00, 90.00, 90.00 degrees
Space group P4mm (No. 99)
Inequivalent atoms, fractional coordinates:
Ca: 0.000 0.000 0.000 [1 per cell]
Y: 0.000 0.500 0.422 [2 per cell]
Ti: 0.500 0.500 0.047 [1 per cell]
O: 0.000 0.000 0.583 [1 per cell]
O: 0.266 0.266 0.189 [4 per cell]
O: 0.500 0.500 0.697 [1 per cell]

The uncorrected formation energy comes out at -298.45 kJ/mol of atoms. For the theoretical density, the calculation gives 4.018 g cm⁻³.